[1]
# Cu2IrPt

A relaxed Cu2IrPt crystal (PBEsol, the Alexandria database).

Properties
ΔE_f: 0.092 eV per atom
raw total energy: -6.272 eV per atom
DOS at the Fermi energy: 7.99 states/eV/cell
ΔE to the lowest computed polymorph: 9.7 kJ per mole of atoms
total magnetic moment: 0.02 Bohr magnetons per cell
volume: 107.0 Å³/cell

a = 5.3114 Å, b = 8.7539 Å, c = 2.6243 Å
α = 90.00°, β = 118.77°, γ = 90.00°
With the nearest neighbours (Å) after each atom.
Space group C2/m (No. 12)
Asymmetric unit:
Cu (0.2500, 0.2500, 0.0000) x4  2 Ir 2.57, 2 Pt 2.57, 6 Cu 2.62-2.69
Ir (0.0000, 0.0000, 0.5000) x2  4 Cu 2.57, 2 Ir 2.62, 4 Pt 2.66-2.69
Pt (0.0000, 0.5000, 0.5000) x2  4 Cu 2.57, 2 Pt 2.62, 4 Ir 2.66-2.69

[2]
# Sc2CrFe

A relaxed Sc2CrFe crystal (PBEsol, the Alexandria database).

Properties
ΔE_f: 0.188 eV per atom
raw total energy: -7.916 eV per atom
DOS at the Fermi energy: 4.46 states/eV/cell
total magnetic moment: 3.50 Bohr magnetons per cell
volume: 63.2 Å³/cell

a = 4.4333 Å, b = 4.4333 Å, c = 3.2150 Å
α = 90.00°, β = 90.00°, γ = 90.00°
With the nearest neighbours (Å) after each atom.
Space group P4/mmm (No. 123)
Asymmetric unit:
Sc (0.0000, 0.5000, 0.0000) x2  4 Cr 2.74, 4 Fe 2.74
Cr (0.0000, 0.0000, 0.5000) x1  8 Sc 2.74
Fe (0.5000, 0.5000, 0.5000) x1  8 Sc 2.74

[3]
# Li2P2Ru

A relaxed Li2P2Ru crystal (PBEsol, the Alexandria database).

Properties
ΔE_f: -0.653 eV per atom
raw total energy: -5.791 eV per atom
DOS at the Fermi energy: 2.64 states/eV/cell
total magnetic moment: 0.00 Bohr magnetons per cell
volume: 134.0 Å³/cell

a = 5.9202 Å, b = 5.9202 Å, c = 3.8221 Å
α = 90.00°, β = 90.00°, γ = 90.00°
With the nearest neighbours (Å) after each atom.
Space group P4/mbm (No. 127)
Asymmetric unit:
Li (0.1756, 0.3244, 0.0000) x4  6 P 2.50-2.65
P (0.1310, 0.6310, 0.5000) x4  1 P 2.19, 2 Ru 2.32
Ru (0.0000, 0.0000, 0.5000) x2  4 P 2.32

[4]
# KReN2F

A relaxed KReN2F crystal (PBEsol, the Alexandria database).

Properties
raw total energy: -4.113 eV per atom
DOS at the Fermi energy: 2.25 states/eV/cell
total magnetic moment: 2.65 Bohr magnetons per cell
volume: 74.4 Å³/cell
formation energy without anion corrections: 2.58 eV/atom

a = 4.2156 Å, b = 4.2156 Å, c = 4.1881 Å
α = 90.00°, β = 90.00°, γ = 90.00°
With the nearest neighbours (Å) after each atom.
Space group P4/mmm (No. 123)
Asymmetric unit:
K (0.0000, 0.0000, 0.0000) x1  2 F 2.09, 4 N 2.11
Re (0.5000, 0.5000, 0.5000) x1  8 N 2.97, 4 F 2.98
N (0.0000, 0.5000, 0.0000) x2  2 K 2.11
F (0.0000, 0.0000, 0.5000) x1  2 K 2.09

[5]
# Ba4CdBr

A relaxed Ba4CdBr crystal (PBEsol, the Alexandria database).

Properties
raw total energy: -1.852 eV per atom
DOS at the Fermi energy: 38.99 states/eV/cell
total magnetic moment: 0.10 Bohr magnetons per cell
volume: 1071.0 Å³/cell
formation energy without anion corrections: 0.09 eV/atom

a = 10.2313 Å, b = 10.2313 Å, c = 10.2313 Å
α = 90.00°, β = 90.00°, γ = 90.00°
With the nearest neighbours (Å) after each atom.
Space group F-43m (No. 216)
Asymmetric unit:
Ba (0.1253, 0.1253, 0.1253) x16  6 Ba 3.61-3.63
Cd (0.2500, 0.2500, 0.7500) x4  12 Ba 4.24, 4 Br 4.43
Br (0.0000, 0.0000, 0.5000) x4  12 Ba 4.24, 4 Cd 4.43

[6]
# FeReSb3

A relaxed FeReSb3 crystal (PBEsol, the Alexandria database).

Properties
raw total energy: -5.927 eV per atom
DOS at the Fermi energy: 8.36 states/eV/cell
total magnetic moment: 3.36 Bohr magnetons per cell
volume: 133.4 Å³/cell
formation energy without anion corrections: 1.27 eV/atom

a = 5.1093 Å, b = 5.1093 Å, c = 5.1093 Å
α = 90.00°, β = 90.00°, γ = 90.00°
With the nearest neighbours (Å) after each atom.
Space group Pm-3m (No. 221)
Asymmetric unit:
Fe (0.0000, 0.0000, 0.0000) x1  12 Sb 3.61
Re (0.5000, 0.5000, 0.5000) x1  6 Sb 2.55
Sb (0.0000, 0.5000, 0.5000) x3  2 Re 2.55

[7]
# Co2HW

A relaxed Co2HW crystal (PBEsol, the Alexandria database).

Properties
raw total energy: -7.501 eV per atom
DOS at the Fermi energy: 13.68 states/eV/cell
ΔE to the lowest computed polymorph: 41.8 kJ per mole of atoms
total magnetic moment: 0.02 Bohr magnetons per cell
volume: 168.0 Å³/cell

a = 5.5182 Å, b = 5.5182 Å, c = 5.5182 Å
α = 90.00°, β = 90.00°, γ = 90.00°
With the nearest neighbours (Å) after each atom.
Space group Fm-3m (No. 225)
Asymmetric unit:
Co (0.2500, 0.2500, 0.2500) x8  4 H 2.39, 4 W 2.39
H (0.0000, 0.0000, 0.0000) x4  8 Co 2.39
W (0.0000, 0.0000, 0.5000) x4  8 Co 2.39

[8]
# MnSi2As

A relaxed MnSi2As crystal (PBEsol, the Alexandria database).

Properties
raw total energy: -6.416 eV per atom
DOS at the Fermi energy: 7.95 states/eV/cell
total magnetic moment: 13.53 Bohr magnetons per cell
volume: 243.1 Å³/cell
formation energy without anion corrections: 0.17 eV/atom

a = 5.0288 Å, b = 5.2851 Å, c = 9.1456 Å
α = 90.00°, β = 90.00°, γ = 90.00°
With the nearest neighbours (Å) after each atom.
Space group Fmmm (No. 69)
Asymmetric unit:
Mn (0.0000, 0.0000, 0.0000) x4  4 As 2.51-2.64, 4 Si 2.64
Si (0.0000, 0.2500, 0.2500) x8  4 Si 2.51-2.64, 2 As 2.64, 2 Mn 2.64
As (0.0000, 0.0000, 0.5000) x4  4 Mn 2.51-2.64, 4 Si 2.64

[9]
# LiSc2As2

A relaxed LiSc2As2 crystal (PBEsol, the Alexandria database).

Properties
ΔE_f: -1.044 eV per atom
raw total energy: -6.122 eV per atom
DOS at the Fermi energy: 5.54 states/eV/cell
total magnetic moment: 0.00 Bohr magnetons per cell
volume: 185.2 Å³/cell

a = 7.1583 Å, b = 7.1583 Å, c = 3.6152 Å
α = 90.00°, β = 90.00°, γ = 90.00°
With the nearest neighbours (Å) after each atom.
Space group P4/mbm (No. 127)
Asymmetric unit:
Li (0.0000, 0.0000, 0.0000) x2  4 As 2.70
Sc (0.1521, 0.3479, 0.5000) x4  6 As 2.66-2.85
As (0.1557, 0.6557, 0.0000) x4  6 Sc 2.66-2.85, 2 Li 2.70

[10]
# FeAgSb2

A relaxed FeAgSb2 crystal (PBEsol, the Alexandria database).

Properties
raw total energy: -4.979 eV per atom
DOS at the Fermi energy: 11.64 states/eV/cell
ΔE to the lowest computed polymorph: 21.3 kJ per mole of atoms
total magnetic moment: 7.03 Bohr magnetons per cell
volume: 246.2 Å³/cell
formation energy without anion corrections: 0.37 eV/atom

a = 3.1593 Å, b = 3.1593 Å, c = 28.4877 Å
α = 90.00°, β = 90.00°, γ = 120.00°
With the nearest neighbours (Å) after each atom.
Space group R3m (No. 160, hexagonal axes)
Asymmetric unit:
Fe (0.0000, 0.0000, 0.0000) x3  3 Sb 2.62, 3 Ag 2.67
Ag (0.0000, 0.0000, 0.7353) x3  3 Fe 2.67, 3 Sb 2.98
Sb (0.0000, 0.0000, 0.2673) x3  3 Fe 2.62
Sb (0.0000, 0.0000, 0.4849) x3  3 Ag 2.98, 6 Sb 3.16

[11]
# ZnCd3

A relaxed ZnCd3 crystal (PBEsol, the Alexandria database).

Properties
ΔE_f: 0.103 eV per atom
raw total energy: -1.191 eV per atom
DOS at the Fermi energy: 2.02 states/eV/cell
total magnetic moment: 0.00 Bohr magnetons per cell
volume: 157.6 Å³/cell

a = 5.4021 Å, b = 5.4021 Å, c = 5.4021 Å
α = 90.00°, β = 90.00°, γ = 90.00°
With the nearest neighbours (Å) after each atom.
Space group Pm-3n (No. 223)
Asymmetric unit:
Zn (0.0000, 0.0000, 0.0000) x2  12 Cd 3.02
Cd (0.0000, 0.2500, 0.5000) x6  2 Cd 2.70, 4 Zn 3.02

[12]
# Li4FeP6H8O22

A relaxed Li4FeP6H8O22 crystal (PBEsol, the Alexandria database).

Properties
raw total energy: -6.547 eV per atom
DOS at the Fermi energy: 6.61 states/eV/cell
total magnetic moment: 4.00 Bohr magnetons per cell
volume: 425.3 Å³/cell

a = 6.8986 Å, b = 7.2393 Å, c = 8.8095 Å
α = 92.19°, β = 104.63°, γ = 90.26°
With the nearest neighbours (Å) after each atom.
Space group P-1 (No. 2)
Asymmetric unit:
Li (0.1217, 0.1217, 0.4569) x2  4 O 1.98-2.07
Li (0.2203, 0.0009, 0.7763) x2  4 O 1.93-2.02
Fe (0.0000, 0.5000, 0.0000) x1  6 O 2.06-2.16
P (0.2189, 0.4407, 0.7179) x2  4 O 1.49-1.62
P (0.3170, 0.7322, 0.5270) x2  4 O 1.48-1.62
P (0.4629, 0.3013, 0.1542) x2  4 O 1.50-1.62
H (0.0972, 0.1564, 0.1619) x2  1 O 0.99
H (0.1038, 0.9382, 0.1708) x2  1 O 1.01
H (0.2644, 0.7195, 0.2056) x2  1 O 1.03
H (0.2708, 0.7714, 0.0273) x2  1 O 1.01
O (0.0573, 0.0531, 0.2189) x2  2 H 0.99-1.01
O (0.0641, 0.5321, 0.7870) x2  1 P 1.50
O (0.1777, 0.7400, 0.0947) x2  2 H 1.01-1.03
O (0.1792, 0.8824, 0.5589) x2  1 P 1.51
O (0.2055, 0.2377, 0.6808) x2  1 P 1.49
O (0.2236, 0.5363, 0.5563) x2  2 P 1.61
O (0.2451, 0.3113, 0.0723) x2  1 P 1.50
O (0.3751, 0.7229, 0.3768) x2  1 P 1.48, 1 H 1.51
O (0.4055, 0.8318, 0.9064) x2  1 P 1.50, 1 H 1.65
O (0.4404, 0.4930, 0.8280) x2  2 P 1.62
O (0.4764, 0.2563, 0.3352) x2  2 P 1.62